Compound: Pr2CdCo2
Source: Alexandria via LeMat-Bulk
Functional: GGA-PBE
Structure: optimized geometry

- spin magnetization (Bohr magnetons per cell) = 3.416
- theoretical density (g/cm³) = 7.42
- crystal system = orthorhombic
- VASP energy (eV/atom) = -5.1042

a = 3.9451 Å, b = 14.0895 Å, c = 4.1228 Å
α = 90.00°, β = 90.00°, γ = 90.00°
Space group Cmmm (No. 65)
One atom of each set of equivalent atoms:
Pr: 0.0000 0.1351 0.0000
Cd: 0.0000 0.5000 0.5000
Co: 0.0000 0.2887 0.5000